(1)
# TbSiOs2C, single point on PBEsol structure, DFT meta-GGA SCAN
data_TbSiOs2C
_symmetry_space_group_name_H-M 'C m c m'
_symmetry_Int_Tables_number 63
_symmetry_space_group_name_Hall '-C 2c 2'
_cell_length_a 3.847
_cell_length_b 11.040
_cell_length_c 7.071
_cell_angle_alpha 90.00
_cell_angle_beta 90.00
_cell_angle_gamma 90.00
loop_
_atom_site_label
_atom_site_type_symbol
_atom_site_fract_x
_atom_site_fract_y
_atom_site_fract_z
Tb1 Tb 0.000 0.048 0.250
Si1 Si 0.000 0.231 0.750
Os1 Os 0.000 0.334 0.059
C1 C 0.000 0.500 0.000
# Formation energy without anion corrections = -603 meV/atom
# DOS(E_F) = 8.60 states/eV/cell

***

(2)
# LiZr2Au, single point on PBEsol structure, DFT meta-GGA SCAN
data_LiZr2Au
_symmetry_space_group_name_H-M 'F -4 3 m'
_symmetry_Int_Tables_number 216
_symmetry_space_group_name_Hall 'F -4 2 3'
_cell_length_a 6.663
_cell_length_b 6.663
_cell_length_c 6.663
_cell_angle_alpha 90.00
_cell_angle_beta 90.00
_cell_angle_gamma 90.00
loop_
_atom_site_label
_atom_site_type_symbol
_atom_site_fract_x
_atom_site_fract_y
_atom_site_fract_z
Li1 Li 0.000 0.000 0.000
Zr1 Zr 0.000 0.000 0.500
Zr2 Zr 0.250 0.250 0.250
Au1 Au 0.250 0.250 0.750
# DOS(E_F) = 10.90 states/eV/cell
# E_form = -0.6 eV per formula unit

***

(3)
# SiTc2Ni, single point on PBEsol structure, DFT meta-GGA SCAN
data_SiTc2Ni
_symmetry_space_group_name_H-M 'I m m 2'
_symmetry_Int_Tables_number 44
_symmetry_space_group_name_Hall 'I 2 -2'
_cell_length_a 2.927
_cell_length_b 4.145
_cell_length_c 8.152
_cell_angle_alpha 90.00
_cell_angle_beta 90.00
_cell_angle_gamma 90.00
loop_
_atom_site_label
_atom_site_type_symbol
_atom_site_fract_x
_atom_site_fract_y
_atom_site_fract_z
Si1 Si 0.000 0.000 0.000
Tc1 Tc 0.000 0.000 0.515
Tc2 Tc 0.000 0.500 0.746
Ni1 Ni 0.000 0.500 0.287
# Formation energy without anion corrections = -344 meV/atom
# DOS(E_F) = 4.21 states/eV/cell

***

(4)
# TeP2Pb, single point on PBEsol structure, DFT meta-GGA SCAN
data_TeP2Pb
_symmetry_space_group_name_H-M 'P 4/m m m'
_symmetry_Int_Tables_number 123
_symmetry_space_group_name_Hall '-P 4 2'
_cell_length_a 4.907
_cell_length_b 4.907
_cell_length_c 3.499
_cell_angle_alpha 90.00
_cell_angle_beta 90.00
_cell_angle_gamma 90.00
loop_
_atom_site_label
_atom_site_type_symbol
_atom_site_fract_x
_atom_site_fract_y
_atom_site_fract_z
Te1 Te 0.000 0.000 0.000
P1 P 0.000 0.500 0.500
Pb1 Pb 0.500 0.500 0.000
# Offset from the most stable computed form = 459 meV per atom
# Formation energy without anion corrections = 613 meV/atom
# DOS(E_F) = 2.48 states/eV/cell

***

(5)
# Pr3OsO7, single point on PBEsol structure, DFT meta-GGA SCAN
data_Pr3OsO7
_symmetry_space_group_name_H-M 'C m c m'
_symmetry_Int_Tables_number 63
_symmetry_space_group_name_Hall '-C 2c 2'
_cell_length_a 10.993
_cell_length_b 7.425
_cell_length_c 7.551
_cell_angle_alpha 90.00
_cell_angle_beta 90.00
_cell_angle_gamma 90.00
loop_
_atom_site_label
_atom_site_type_symbol
_atom_site_fract_x
_atom_site_fract_y
_atom_site_fract_z
Pr1 Pr 0.000 0.000 0.000
Pr2 Pr 0.222 0.309 0.250
Os1 Os 0.000 0.500 0.000
O1 O 0.000 0.418 0.250
O2 O 0.125 0.314 0.541
O3 O 0.131 0.029 0.250
# Formation energy without anion corrections = -2907 meV/atom

***

(6)
# PBrF2, single point on PBEsol structure, DFT meta-GGA SCAN
data_PBrF2
_symmetry_space_group_name_H-M 'I 41/a m d'
_symmetry_Int_Tables_number 141
_cell_length_a 4.586
_cell_length_b 4.586
_cell_length_c 12.647
_cell_angle_alpha 90.00
_cell_angle_beta 90.00
_cell_angle_gamma 90.00
loop_
_symmetry_equiv_pos_as_xyz
'x,y,z'
'-x,-y,-z'
'-y+1/4,x+3/4,z+1/4'
'y+1/4,-x+3/4,-z+1/4'
'-x+1/2,-y,z+1/2'
'x+1/2,y,-z+1/2'
'y+1/4,-x+1/4,z+3/4'
'-y+1/4,x+1/4,-z+3/4'
'x,-y,-z'
'-x,y,z'
'-y+1/4,-x+1/4,-z+3/4'
'y+1/4,x+1/4,z+3/4'
'-x+1/2,y,-z+1/2'
'x+1/2,-y,z+1/2'
'y+1/4,x+3/4,-z+1/4'
'-y+1/4,-x+3/4,z+1/4'
'x+1/2,y+1/2,z+1/2'
'-x+1/2,-y+1/2,-z+1/2'
'-y+3/4,x+1/4,z+3/4'
'y+3/4,-x+1/4,-z+3/4'
'-x,-y+1/2,z'
'x,y+1/2,-z'
'y+3/4,-x+3/4,z+1/4'
'-y+3/4,x+3/4,-z+1/4'
'x+1/2,-y+1/2,-z+1/2'
'-x+1/2,y+1/2,z+1/2'
'-y+3/4,-x+3/4,-z+1/4'
'y+3/4,x+3/4,z+1/4'
'-x,y+1/2,-z'
'x,-y+1/2,z'
'y+3/4,x+1/4,-z+3/4'
'-y+3/4,-x+1/4,z+3/4'
loop_
_atom_site_label
_atom_site_type_symbol
_atom_site_fract_x
_atom_site_fract_y
_atom_site_fract_z
P1 P 0.000 0.250 0.375
Br1 Br 0.000 0.250 0.875
F1 F 0.000 0.000 0.500
# Offset from the most stable computed form = 404 meV per atom
# Formation energy without anion corrections = -582 meV/atom
# DOS(E_F) = 1.12 states/eV/cell

***

(7)
# TaBe2Cd, single point on PBEsol structure, DFT meta-GGA SCAN
data_TaBe2Cd
_symmetry_space_group_name_H-M 'A m m 2'
_symmetry_Int_Tables_number 38
_symmetry_space_group_name_Hall 'A 2 -2'
_cell_length_a 3.788
_cell_length_b 2.896
_cell_length_c 9.785
_cell_angle_alpha 90.00
_cell_angle_beta 90.00
_cell_angle_gamma 90.00
loop_
_atom_site_label
_atom_site_type_symbol
_atom_site_fract_x
_atom_site_fract_y
_atom_site_fract_z
Ta1 Ta 0.000 0.000 0.000
Be1 Be 0.000 0.000 0.279
Be2 Be 0.500 0.000 0.407
Cd1 Cd 0.500 0.000 0.685
# DOS(E_F) = 3.54 states/eV/cell
# E_form = 0.8 eV per formula unit

***

(8)
# Cd4GeSe3S3, single point on PBEsol structure, DFT meta-GGA SCAN
data_Cd4GeSe3S3
_symmetry_space_group_name_H-M 'C 1 c 1'
_symmetry_Int_Tables_number 9
_symmetry_space_group_name_Hall 'C -2yc'
_cell_length_a 12.696
_cell_length_b 7.202
_cell_length_c 12.562
_cell_angle_alpha 90.00
_cell_angle_beta 109.81
_cell_angle_gamma 90.00
loop_
_atom_site_label
_atom_site_type_symbol
_atom_site_fract_x
_atom_site_fract_y
_atom_site_fract_z
Cd1 Cd 0.000 0.075 0.000
Cd2 Cd 0.169 0.394 0.494
Cd3 Cd 0.194 0.100 0.808
Cd4 Cd 0.375 0.195 0.165
Ge1 Ge 0.439 0.271 0.744
Se1 Se 0.059 0.236 0.616
Se2 Se 0.133 0.259 0.287
Se3 Se 0.185 0.244 0.997
S1 S 0.362 0.227 0.559
S2 S 0.370 0.479 0.297
S3 S 0.396 0.026 0.829
# Formation energy without anion corrections = -627 meV/atom
# DOS(E_F) = 0.00 states/eV/cell

***

(9)
# BeAlOs2, single point on PBEsol structure, DFT meta-GGA SCAN
data_BeAlOs2
_symmetry_space_group_name_H-M 'P m m m'
_symmetry_Int_Tables_number 47
_symmetry_space_group_name_Hall '-P 2 2'
_cell_length_a 2.887
_cell_length_b 3.949
_cell_length_c 4.524
_cell_angle_alpha 90.00
_cell_angle_beta 90.00
_cell_angle_gamma 90.00
loop_
_atom_site_label
_atom_site_type_symbol
_atom_site_fract_x
_atom_site_fract_y
_atom_site_fract_z
Be1 Be 0.000 0.000 0.000
Al1 Al 0.500 0.000 0.500
Os1 Os 0.000 0.500 0.500
Os2 Os 0.500 0.500 0.000
# DOS(E_F) = 2.71 states/eV/cell
# E_form = -0.4 eV per formula unit

***

(10)
# ZrScP2, single point on PBEsol structure, DFT meta-GGA SCAN
data_ZrScP2
_symmetry_space_group_name_H-M 'P 4/m m m'
_symmetry_Int_Tables_number 123
_symmetry_space_group_name_Hall '-P 4 2'
_cell_length_a 4.558
_cell_length_b 4.558
_cell_length_c 3.227
_cell_angle_alpha 90.00
_cell_angle_beta 90.00
_cell_angle_gamma 90.00
loop_
_atom_site_label
_atom_site_type_symbol
_atom_site_fract_x
_atom_site_fract_y
_atom_site_fract_z
Zr1 Zr 0.000 0.000 0.000
Sc1 Sc 0.500 0.500 0.000
P1 P 0.000 0.500 0.500
# Offset from the most stable computed form = 632 meV per atom
# DOS(E_F) = 3.40 states/eV/cell
# E_form = -3.9 eV per formula unit

***

(11)
# CdInW2, single point on PBEsol structure, DFT meta-GGA SCAN
data_CdInW2
_symmetry_space_group_name_H-M 'R -3 m'
_symmetry_Int_Tables_number 166
_symmetry_space_group_name_Hall '-R 3 2"'
_cell_length_a 2.8986
_cell_length_b 2.8986
_cell_length_c 28.9509
_cell_angle_alpha 90.00
_cell_angle_beta 90.00
_cell_angle_gamma 120.00
loop_
_atom_site_label
_atom_site_type_symbol
_atom_site_fract_x
_atom_site_fract_y
_atom_site_fract_z
Cd1 Cd 0.0000 0.0000 0.0000
In1 In 0.0000 0.0000 0.5000
W1 W 0.0000 0.0000 0.2498
# Offset from the most stable computed form = 51 meV per atom
# DOS(E_F) = 7.28 states/eV/cell
# E_form = 2.9 eV per formula unit

***

(12)
# Co2PRuPb, single point on PBEsol structure, DFT meta-GGA SCAN
data_Co2PRuPb
_symmetry_space_group_name_H-M 'P 4/m m m'
_symmetry_Int_Tables_number 123
_symmetry_space_group_name_Hall '-P 4 2'
_cell_length_a 4.148
_cell_length_b 4.148
_cell_length_c 4.416
_cell_angle_alpha 90.00
_cell_angle_beta 90.00
_cell_angle_gamma 90.00
loop_
_atom_site_label
_atom_site_type_symbol
_atom_site_fract_x
_atom_site_fract_y
_atom_site_fract_z
Co1 Co 0.000 0.500 0.000
P1 P 0.000 0.000 0.000
Ru1 Ru 0.000 0.000 0.500
Pb1 Pb 0.500 0.500 0.500
# DOS(E_F) = 2.17 states/eV/cell
# E_form = 1.6 eV per formula unit

***

| no. | spin magnetization (μB per cell) |
| --- | --- |
| 1 | 0.0 |
| 2 | 8.6 |
| 3 | 0.0 |
| 4 | 0.0 |
| 5 | 12.0 |
| 6 | 0.0 |
| 7 | 0.0 |
| 8 | 0.0 |
| 9 | 0.0 |
| 10 | 0.0 |
| 11 | 0.0 |
| 12 | 3.1 |